Record 1
This record from Alexandria describes LaOsSe2 after structural relaxation. The functional is PBE.

E_tot, eV/atom: -6.41
Calculated volume, Å³/cell: 94.8
Energy relative to the lowest polymorph listed for this composition, meV/atom: 70
ΔE_f (raw), meV/atom: -630
Total moment, Bohr magnetons per cell: 0.00
Symmetry: Cm (8)

Cell: 5.153 5.153 5.496 Å, 111.48 111.48 45.05°
Sites, in units of the cell vectors:
La (0.000, 0.000, 0.000)
Os (0.236, 0.236, 0.611)
Se (0.640, 0.640, 0.752)
Se (0.811, 0.811, 0.393)

=====

Record 2
This record from Alexandria describes Al4Co3Os after structural relaxation. The functional is PBE.

E_tot, eV/atom: -6.48
Calculated volume, Å³/cell: 98.0
Total moment, Bohr magnetons per cell: 0.04
Symmetry: P4/mmm (123)
Energy of formation from the pure elements, meV/atom: -540

Cell: 2.913 2.913 11.548 Å, 90.00 90.00 90.00°
Sites, in units of the cell vectors:
Al (0.000, 0.000, 0.122)
Al (0.000, 0.000, 0.367)
Al (0.000, 0.000, 0.633)
Al (0.000, 0.000, 0.878)
Co (0.500, 0.500, 0.000)
Co (0.500, 0.500, 0.242)
Co (0.500, 0.500, 0.758)
Os (0.500, 0.500, 0.500)

=====

Record 3
This record from Alexandria describes Sc2Ga5Tc2Rh after structural relaxation. The functional is PBE.

E_tot, eV/atom: -5.90
Calculated volume, Å³/cell: 339.5
Total moment, Bohr magnetons per cell: 0.00
Symmetry: P4/mbm (127)
Energy of formation from the pure elements, meV/atom: -310

Cell: 10.111 10.111 3.321 Å, 90.00 90.00 90.00°
Sites, in units of the cell vectors:
Sc (0.182, 0.318, 0.000)
Sc (0.318, 0.818, 0.000)
Sc (0.682, 0.182, 0.000)
Sc (0.818, 0.682, 0.000)
Ga (0.000, 0.500, 0.500)
Ga (0.056, 0.810, 0.500)
Ga (0.190, 0.056, 0.500)
Ga (0.310, 0.556, 0.500)
Ga (0.444, 0.310, 0.500)
Ga (0.500, 0.000, 0.500)
Ga (0.556, 0.690, 0.500)
Ga (0.690, 0.444, 0.500)
Ga (0.810, 0.944, 0.500)
Ga (0.944, 0.190, 0.500)
Tc (0.131, 0.631, 0.000)
Tc (0.369, 0.131, 0.000)
Tc (0.631, 0.869, 0.000)
Tc (0.869, 0.369, 0.000)
Rh (0.000, 0.000, 0.000)
Rh (0.500, 0.500, 0.000)

=====

Record 4
This record from Alexandria describes Ac3ZrSi7 after structural relaxation. The functional is PBE.

E_tot, eV/atom: -5.90
Calculated volume, Å³/cell: 500.5
ΔE_f (raw), meV/atom: -553
Total moment, Bohr magnetons per cell: 0.00
Symmetry: Cmcm (63)

Cell: 10.176 10.176 11.982 Å, 90.00 90.00 156.21°
Sites, in units of the cell vectors:
Ac (0.108, 0.892, 0.549)
Ac (0.108, 0.892, 0.951)
Ac (0.242, 0.758, 0.250)
Ac (0.758, 0.242, 0.750)
Ac (0.892, 0.108, 0.049)
Ac (0.892, 0.108, 0.451)
Zr (0.043, 0.957, 0.250)
Zr (0.957, 0.043, 0.750)
Si (0.272, 0.728, 0.535)
Si (0.272, 0.728, 0.965)
Si (0.371, 0.629, 0.652)
Si (0.371, 0.629, 0.848)
Si (0.430, 0.570, 0.250)
Si (0.489, 0.511, 0.598)
Si (0.489, 0.511, 0.902)
Si (0.511, 0.489, 0.098)
Si (0.511, 0.489, 0.402)
Si (0.570, 0.430, 0.750)
Si (0.629, 0.371, 0.152)
Si (0.629, 0.371, 0.348)
Si (0.728, 0.272, 0.035)
Si (0.728, 0.272, 0.465)

=====

Record 5
This record from Alexandria describes Nd5Ge2N after structural relaxation. The functional is PBE.

E_tot, eV/atom: -5.72
Calculated volume, Å³/cell: 473.3
ΔE_f (raw), meV/atom: -541
Total moment, Bohr magnetons per cell: 0.01
Symmetry: Cmcm (63)

Cell: 6.791 6.791 13.280 Å, 90.00 90.00 129.39°
Sites, in units of the cell vectors:
Nd (0.057, 0.943, 0.627)
Nd (0.057, 0.943, 0.873)
Nd (0.301, 0.699, 0.250)
Nd (0.340, 0.660, 0.607)
Nd (0.340, 0.660, 0.893)
Nd (0.660, 0.340, 0.107)
Nd (0.660, 0.340, 0.393)
Nd (0.699, 0.301, 0.750)
Nd (0.943, 0.057, 0.127)
Nd (0.943, 0.057, 0.373)
Ge (0.177, 0.823, 0.067)
Ge (0.177, 0.823, 0.433)
Ge (0.823, 0.177, 0.567)
Ge (0.823, 0.177, 0.933)
N (0.210, 0.790, 0.750)
N (0.790, 0.210, 0.250)

=====

Record 6
This record from Alexandria describes MnPb3N after structural relaxation. The functional is PBE.

E_tot, eV/atom: -4.90
Calculated volume, Å³/cell: 124.4
Energy relative to the lowest polymorph listed for this composition, meV/atom: 0
ΔE_f (raw), meV/atom: 825
Total moment, Bohr magnetons per cell: 4.07
Symmetry: Pm-3m (221)

Cell: 4.991 4.991 4.991 Å, 90.00 90.00 90.00°
Sites, in units of the cell vectors:
Mn (0.000, 0.000, 0.000)
Pb (0.000, 0.500, 0.500)
Pb (0.500, 0.000, 0.500)
Pb (0.500, 0.500, 0.000)
N (0.500, 0.500, 0.500)